[1]
Pm2Ho3ErSe6, optimized geometry, DFT PBE-GGA; V = 292.5 Å³/f.u.; energy = -5.814 eV per atom; calculated density = 8.09 Mg/m³
1.0
-2.041 -3.421 -0.874
5.394 -1.679 -6.019
4.579 -2.249 7.621
Pm Ho Er Se
2 3 1 6
Direct
0.831 0.663 0.662 Pm
0.169 0.337 0.338 Pm
0.500 0.500 0.000 Ho
0.830 0.167 0.659 Ho
0.170 0.833 0.341 Ho
0.500 0.000 0.000 Er
0.336 0.927 0.671 Se
0.663 0.591 0.325 Se
0.664 0.073 0.329 Se
0.996 0.246 0.993 Se
0.004 0.754 0.007 Se
0.337 0.409 0.675 Se

[2]
TaTl3Se, optimized geometry, DFT PBE-GGA; V = 170.1 Å³/f.u.; excess energy over the best structure of this formula in the dataset = 0 meV per atom; calculated density = 8.52 Mg/m³
1.0
5.541 0.000 0.000
0.000 5.541 0.000
0.000 0.000 5.541
Tl Se Ta
3 1 1
Direct
0.000 0.500 0.000 Tl
0.000 0.000 0.500 Tl
0.500 0.000 0.000 Tl
0.500 0.500 0.500 Se
0.000 0.000 0.000 Ta

[3]
SrLiRu, optimized geometry, DFT PBE-GGA; V = 78.0 Å³/f.u.; excess energy over the best structure of this formula in the dataset = 304 meV per atom; calculated density = 4.16 Mg/m³
1.0
4.797 0.000 0.000
2.398 4.154 0.000
2.398 1.385 3.917
Li Ru Sr
1 1 1
Direct
0.500 0.500 0.500 Li
0.750 0.750 0.750 Ru
0.000 0.000 0.000 Sr

[4]
Co, optimized geometry, DFT PBE-GGA; V = 11.9 Å³/f.u.; excess energy over the best structure of this formula in the dataset = 422 meV per atom; calculated density = 8.19 Mg/m³
1.0
4.334 -0.038 0.000
-2.959 3.167 0.000
0.000 0.000 3.511
Co
4
Direct
0.859 0.141 0.000 Co
0.141 0.859 0.000 Co
0.359 0.641 0.500 Co
0.641 0.359 0.500 Co

[5]
MgInRe, optimized geometry, DFT PBE-GGA; V = 55.8 Å³/f.u.; excess energy over the best structure of this formula in the dataset = 34 meV per atom; calculated density = 9.69 Mg/m³
1.0
-7.185 0.298 -0.604
-6.490 -2.125 -1.984
-0.934 -1.069 2.498
In Mg Re
1 1 1
Direct
0.009 0.009 0.991 In
0.321 0.321 0.679 Mg
0.670 0.670 0.330 Re

[6]
LiB4O7, optimized geometry, DFT PBE-GGA; V = 92.2 Å³/f.u.; energy = -7.469 eV per atom; calculated density = 2.92 Mg/m³
1.0
5.158 0.000 0.000
0.000 5.616 -2.999
0.000 -0.003 6.367
Li B O
2 8 14
Direct
0.750 0.768 0.768 Li
0.250 0.232 0.232 Li
0.500 0.702 0.298 B
0.000 0.298 0.702 B
0.000 0.702 0.298 B
0.250 0.690 0.921 B
0.250 0.921 0.690 B
0.500 0.298 0.702 B
0.750 0.079 0.310 B
0.750 0.310 0.079 B
0.250 0.918 0.918 O
0.980 0.447 0.191 O
0.750 0.082 0.082 O
0.020 0.553 0.809 O
0.480 0.809 0.553 O
0.250 0.194 0.754 O
0.520 0.447 0.191 O
0.980 0.191 0.447 O
0.750 0.246 0.806 O
0.020 0.809 0.553 O
0.250 0.754 0.194 O
0.520 0.191 0.447 O
0.750 0.806 0.246 O
0.480 0.553 0.809 O

[7]
LiZrIr2, optimized geometry, DFT PBE-GGA; V = 62.2 Å³/f.u.; excess energy over the best structure of this formula in the dataset = 38 meV per atom; calculated density = 12.89 Mg/m³
1.0
-0.015 4.146 0.063
-2.013 0.048 -3.625
-3.161 -0.038 1.755
Ir Zr Li
2 1 1
Direct
0.000 0.000 0.000 Ir
0.500 0.500 0.000 Ir
0.000 0.500 0.500 Zr
0.500 0.000 0.500 Li

[8]
SmScP2, optimized geometry, DFT PBE-GGA; V = 89.6 Å³/f.u.; excess energy over the best structure of this formula in the dataset = 175 meV per atom; calculated density = 4.77 Mg/m³
1.0
-3.866 -0.274 0.439
2.166 -3.232 -0.274
0.771 -0.056 6.756
Sm Sc P
1 1 2
Direct
0.000 0.500 0.500 Sm
0.000 0.500 0.000 Sc
0.667 0.833 0.771 P
0.333 0.167 0.229 P

[9]
Nd11Tm4Sc9, optimized geometry, DFT PBE-GGA; V = 730.6 Å³/f.u.; energy = -5.201 eV per atom; calculated density = 6.06 Mg/m³
1.0
3.574 0.000 0.000
0.000 13.711 -5.880
0.000 -0.018 14.918
Nd Tm Sc
11 4 9
Direct
0.000 0.599 0.963 Nd
0.000 0.401 0.037 Nd
0.000 0.963 0.599 Nd
0.000 0.037 0.401 Nd
0.000 0.633 0.367 Nd
0.000 0.367 0.633 Nd
0.000 0.839 0.161 Nd
0.000 0.161 0.839 Nd
0.000 0.000 0.000 Nd
0.000 0.713 0.713 Nd
0.000 0.287 0.287 Nd
0.500 0.557 0.761 Tm
0.500 0.443 0.239 Tm
0.500 0.761 0.557 Tm
0.500 0.239 0.443 Tm
0.500 0.631 0.170 Sc
0.500 0.369 0.830 Sc
0.500 0.170 0.631 Sc
0.500 0.830 0.369 Sc
0.500 0.787 0.933 Sc
0.500 0.213 0.067 Sc
0.500 0.933 0.787 Sc
0.500 0.067 0.213 Sc
0.500 0.500 0.500 Sc

[10]
MnFeMo2, optimized geometry, DFT PBE-GGA; V = 55.2 Å³/f.u.; excess energy over the best structure of this formula in the dataset = 3 meV per atom; calculated density = 9.10 Mg/m³
1.0
4.291 0.000 0.000
0.000 2.623 -0.001
0.000 0.790 4.907
Fe Mn Mo
1 1 2
Direct
0.000 0.514 0.501 Fe
0.500 0.738 0.750 Mn
0.000 0.008 0.984 Mo
0.500 0.241 0.265 Mo

[11]
Tl2InBiPb2, optimized geometry, DFT PBE-GGA; V = 186.4 Å³/f.u.; energy = -3.127 eV per atom; calculated density = 10.22 Mg/m³
1.0
4.992 0.000 0.000
0.000 7.055 0.000
0.000 0.000 10.584
Tl In Bi Pb
4 2 2 4
Direct
0.500 0.131 0.000 Tl
0.000 0.379 0.165 Tl
0.500 0.631 0.000 Tl
0.000 0.879 0.835 Tl
0.000 0.886 0.504 In
0.000 0.386 0.496 In
0.500 0.131 0.660 Bi
0.500 0.631 0.340 Bi
0.000 0.376 0.814 Pb
0.500 0.141 0.341 Pb
0.000 0.876 0.186 Pb
0.500 0.641 0.659 Pb

[12]
ZrSb2Au, optimized geometry, DFT PBE-GGA; V = 90.2 Å³/f.u.; energy = -5.280 eV per atom; calculated density = 9.79 Mg/m³
1.0
5.946 -0.033 -0.049
3.034 5.113 0.049
-4.469 -2.578 2.956
Au Sb Zr
1 2 1
Direct
0.250 0.750 0.500 Au
0.000 0.000 0.000 Sb
0.750 0.250 0.500 Sb
0.500 0.500 0.000 Zr